## LiMo2RhN (GGA-PBE)

Data for an optimized crystal structure of LiMo2RhN.

The structure belongs to space group P4/mmm (No. 123); the cell edges are 4.055, 4.055 and 3.929 Å and the angles 90.00°, 90.00° and 90.00°. Symmetry generates all atoms from Li at (0.000, 0.000, 0.000), Mo at (0.000, 0.500, 0.500), Rh at (0.500, 0.500, 0.000) and N at (0.000, 0.000, 0.500).

For the uncorrected formation energy, the calculation gives -0.15 eV/atom. The total energy comes out at -39.98 eV for the cell shown.

---

## LiMo2RuN (GGA-PBE)

Data for an optimized crystal structure of LiMo2RuN.

The structure belongs to space group P4/mmm (No. 123); the cell edges are 4.176, 4.176 and 3.969 Å and the angles 90.00°, 90.00° and 90.00°. Symmetry generates all atoms from Li at (0.000, 0.000, 0.000), Mo at (0.000, 0.500, 0.000), Ru at (0.000, 0.000, 0.500) and N at (0.500, 0.500, 0.500).

For the uncorrected formation energy, the calculation gives 2.22 eV/atom. The total energy comes out at -30.05 eV for the cell shown.

---

## LiMoSN2 (GGA-PBE)

Data for an optimized crystal structure of LiMoSN2.

The structure belongs to space group P4/mmm (No. 123); the cell edges are 3.885, 3.885 and 5.019 Å and the angles 90.00°, 90.00° and 90.00°. Symmetry generates all atoms from Li at (0.000, 0.000, 0.000), Mo at (0.500, 0.500, 0.500), S at (0.500, 0.500, 0.000) and N at (0.000, 0.500, 0.500).

For the energy relative to the lowest polymorph listed for this composition, the calculation gives 0.0000 eV/atom. For the uncorrected formation energy, the calculation gives 0.02 eV/atom. The total energy comes out at -33.43 eV for the cell shown.